(1)
Compound: AsRuW2
Source: the Alexandria database
Functional: PBE-GGA
Structure: optimized geometry

The value obtained for the raw total energy is -9.79 eV/atom. For the total magnetization, the calculation gives 0.000 μB per formula unit.

a b c (Å): 3.1358 3.1358 6.3117
angles (deg): 90.00 90.00 90.01
Fractional positions:
Ru: 0.5000 0.5000 0.7584
As: 0.0000 0.0000 0.4851
W: 0.0000 0.0000 0.9949
W: 0.5000 0.5000 0.2615

***

(2)
Compound: TaPCl2
Source: the Alexandria database
Functional: PBE-GGA
Structure: optimized geometry

The value obtained for the raw total energy is -5.79 eV/atom. Its distance to the lowest polymorph of the same formula is 99.1 meV per atom. For the formation energy (no corrections), the calculation gives -0.55 eV per atom. For the total magnetization, the calculation gives 0.000 μB per formula unit.

a b c (Å): 3.0986 7.5229 7.5247
angles (deg): 38.42 90.00 90.00
Fractional positions:
Cl: 0.0000 0.8864 0.8865
Cl: 0.0000 0.6136 0.6135
P: 0.5000 0.2500 0.2500
Ta: 0.5000 0.7500 0.7500

***

(3)
Compound: BIBr2
Source: the Alexandria database
Functional: PBE-GGA
Structure: optimized geometry

The value obtained for the raw total energy is -2.66 eV/atom. Its distance to the lowest polymorph of the same formula is 574.0 meV per atom. For the formation energy (no corrections), the calculation gives 0.23 eV per atom. For the total magnetization, the calculation gives 0.000 μB per formula unit.

a b c (Å): 8.2838 8.2838 8.2838
angles (deg): 37.75 37.75 37.75
Fractional positions:
I: 0.5000 0.5000 0.5000
B: 0.0000 0.0000 0.0000
Br: 0.0770 0.0770 0.0770
Br: 0.9230 0.9230 0.9230

***

(4)
Compound: Na2H6Br
Source: the Alexandria database
Functional: PBE-GGA
Structure: optimized geometry

The value obtained for the raw total energy is -2.32 eV/atom. For the total magnetization, the calculation gives 0.000 μB per formula unit.

a b c (Å): 5.1042 5.1042 5.1042
angles (deg): 60.00 60.00 60.00
Fractional positions:
Na: 0.7500 0.7500 0.7500
Na: 0.2500 0.2500 0.2500
Br: 0.0000 0.0000 0.0000
H: 0.3665 0.6335 0.3665
H: 0.6335 0.3665 0.3665
H: 0.3665 0.6335 0.6335
H: 0.6335 0.3665 0.6335
H: 0.6335 0.6335 0.3665
H: 0.3665 0.3665 0.6335